# ScSn2HgMo

ScSn2HgMo after structural relaxation (PBE-GGA, the Alexandria database).

Properties
The total energy comes out at -4.141 eV/atom. Its space group is P4/mmm (123). The value obtained for the formation energy is 0.953 eV per atom. The value obtained for the density of states at the Fermi level is 3.81 states/eV/f.u.

Cell and atoms, written as POSCAR:
```
ScSn2HgMo
1.0
-0.264 -0.201 5.506
4.155 -2.397 0.112
2.746 4.774 0.306
Sc Mo Hg Sn
1 1 1 2
direct
0.000 0.000 0.000
0.000 0.500 0.000
0.500 0.500 0.500
0.000 0.000 0.500
0.500 0.000 0.000
```